## w
Here is a geometry-optimized NaZn3Sn structure from Alexandria. Energies are from PBE.

Cell: 5.3161 5.3161 5.3161 Å, 90.00 90.00 90.00°
Closest atoms and distances in Å follow each position.
Atoms (fractional coordinates):
Na1 0.5000 0.5000 0.5000  12 Zn 3.76
Zn1 0.0000 0.5000 0.0000  2 Sn 2.66
Zn2 0.0000 0.0000 0.5000  2 Sn 2.66
Zn3 0.5000 0.0000 0.0000  2 Sn 2.66
Sn1 0.0000 0.0000 0.0000  6 Zn 2.66

Summary:
V = 30.05 A^3/atom
Density of states at the Fermi level = 2.53 states/eV/f.u.

## x
Here is a geometry-optimized NaZn3Sn structure from Alexandria. Energies are from PBE.

Cell: 4.2245 7.4302 6.9521 Å, 73.58 89.82 90.01°
Closest atoms and distances in Å follow each position.
Atoms (fractional coordinates):
Na1 0.4775 0.4879 0.6297  7 Zn 3.10-3.40, 3 Sn 3.28-3.37
Na2 0.9746 0.8650 0.2720  7 Zn 3.10-3.40, 3 Sn 3.28-3.37
Zn1 0.4754 0.1810 0.1355  4 Zn 2.52-2.69
Zn2 0.4753 0.9564 0.9241  4 Zn 2.52-2.69
Zn3 0.9750 0.2804 0.3754  6 Zn 2.60-2.92
Zn4 0.9756 0.1715 0.7659  4 Zn 2.52-2.69
Zn5 0.9762 0.3960 0.9774  4 Zn 2.52-2.69
Zn6 0.4749 0.0732 0.5262  6 Zn 2.61-2.92
Sn1 0.9765 0.7867 0.7600  6 Zn 2.86-3.12
Sn2 0.4753 0.5658 0.1415  6 Zn 2.86-3.11

Summary:
V = 20.93 A^3/atom
Density of states at the Fermi level = 1.19 states/eV/f.u.

Ranking the structures above from most stable to least stable yields x, w.